VASP calculation (PBE) on a relaxed structure of Hf2GaAu2.

Results
- Distance to the lowest polymorph of the same formula: 0.125 eV/atom
- Crystal system: tetragonal
- Energy of formation from the pure elements: -0.267 eV/atom
- Mass density: 13.25 g cm⁻³
- DFT total energy: -6.1645 eV/atom

Cell and atoms, written as CIF:
```
data_Hf2GaAu2
_chemical_formula_sum 'Hf4 Ga2 Au4'
_symmetry_space_group_name_H-M 'P 4/m b m'
_symmetry_Int_Tables_number 127
_symmetry_space_group_name_Hall '-P 4 2ab'
_cell_length_a 7.6911
_cell_length_b 7.6911
_cell_length_c 3.4761
_cell_angle_alpha 90.00
_cell_angle_beta 90.00
_cell_angle_gamma 90.00
loop_
_atom_site_label
_atom_site_type_symbol
_atom_site_fract_x
_atom_site_fract_y
_atom_site_fract_z
Hf1 Hf 0.1671 0.3329 0.0000
Ga1 Ga 0.0000 0.0000 0.0000
Au1 Au 0.1318 0.6318 0.5000
```